No. 1
Here is an optimized crystal structure of YZn6Ni2 from the Alexandria database. Energies are from GGA-PBE.

a b c (Å): 7.976 7.976 7.976
angles (deg): 60.00 60.00 60.00
Element x y z (fractional)
Y 0.125 0.125 0.125
Y 0.875 0.875 0.875
Zn 0.142 0.142 0.608
Zn 0.142 0.608 0.142
Zn 0.142 0.608 0.608
Zn 0.392 0.392 0.858
Zn 0.392 0.858 0.392
Zn 0.392 0.858 0.858
Zn 0.608 0.142 0.142
Zn 0.608 0.142 0.608
Zn 0.608 0.608 0.142
Zn 0.858 0.392 0.392
Zn 0.858 0.392 0.858
Zn 0.858 0.858 0.392
Ni 0.000 0.500 0.500
Ni 0.500 0.000 0.500
Ni 0.500 0.500 0.000
Ni 0.500 0.500 0.500

formation energy from the elements = 2.2 eV/f.u.
raw total energy = -2.612 eV/atom
DOS(E_F) = 11.25 states/eV per cell
SG = No. 227

---

No. 2
Here is an optimized crystal structure of YZn2Ni3 from the Alexandria database. Energies are from GGA-PBE.

a b c (Å): 13.414 13.414 13.414
angles (deg): 163.72 163.72 23.11
Element x y z (fractional)
Y 0.144 0.144 0.000
Y 0.856 0.856 0.000
Zn 0.250 0.750 0.500
Zn 0.402 0.402 0.000
Zn 0.598 0.598 0.000
Zn 0.750 0.250 0.500
Ni 0.044 0.544 0.500
Ni 0.310 0.310 0.000
Ni 0.456 0.956 0.500
Ni 0.544 0.044 0.500
Ni 0.690 0.690 0.000
Ni 0.956 0.456 0.500

formation energy from the elements = -0.5 eV/f.u.
raw total energy = -4.480 eV/atom
DOS(E_F) = 12.58 states/eV per cell
SG = No. 139

---

No. 3
Here is an optimized crystal structure of YZn9Ni3 from the Alexandria database. Energies are from GGA-PBE.

a b c (Å): 6.701 6.701 6.575
angles (deg): 97.96 97.96 136.04
Element x y z (fractional)
Y 0.000 0.000 0.000
Zn 0.020 0.669 0.661
Zn 0.276 0.501 0.783
Zn 0.331 0.980 0.339
Zn 0.499 0.724 0.217
Zn 0.500 0.500 0.500
Zn 0.501 0.276 0.783
Zn 0.669 0.020 0.661
Zn 0.724 0.499 0.217
Zn 0.980 0.331 0.339
Ni 0.000 0.000 0.500
Ni 0.000 0.500 0.000
Ni 0.500 0.000 0.000

formation energy from the elements = -3.6 eV/f.u.
raw total energy = -2.988 eV/atom
DOS(E_F) = 6.66 states/eV per cell
SG = No. 12

---

No. 4
Here is an optimized crystal structure of Y3Zn9Ni2 from the Alexandria database. Energies are from GGA-PBE.

a b c (Å): 8.036 8.036 8.036
angles (deg): 149.21 111.74 76.74
Element x y z (fractional)
Y 0.000 0.000 0.000
Y 0.306 0.306 0.000
Y 0.694 0.694 0.000
Zn 0.019 0.661 0.358
Zn 0.157 0.875 0.282
Zn 0.303 0.661 0.642
Zn 0.407 0.125 0.282
Zn 0.500 0.000 0.500
Zn 0.593 0.875 0.718
Zn 0.697 0.339 0.358
Zn 0.843 0.125 0.718
Zn 0.981 0.339 0.642
Ni 0.312 0.500 0.812
Ni 0.688 0.500 0.188

formation energy from the elements = -4.9 eV/f.u.
raw total energy = -3.377 eV/atom
DOS(E_F) = 8.72 states/eV per cell
SG = No. 71

---

No. 5
Here is an optimized crystal structure of YZnNi3 from the Alexandria database. Energies are from GGA-PBE.

a b c (Å): 6.200 6.200 6.200
angles (deg): 133.39 114.08 84.56
Element x y z (fractional)
Y 0.000 0.000 0.000
Y 0.500 0.000 0.500
Zn 0.277 0.527 0.750
Zn 0.723 0.473 0.250
Ni 0.133 0.696 0.437
Ni 0.240 0.304 0.937
Ni 0.500 0.000 0.000
Ni 0.500 0.500 0.500
Ni 0.760 0.696 0.063
Ni 0.867 0.304 0.563

distance to the lowest polymorph of the same formula = 0.049 eV per atom
formation energy from the elements = -1.1 eV/f.u.
raw total energy = -5.239 eV/atom
DOS(E_F) = 8.98 states/eV per cell
SG = No. 74

---

No. 6
Here is an optimized crystal structure of YZn2Ni9 from the Alexandria database. Energies are from GGA-PBE.

a b c (Å): 8.057 8.057 4.736
angles (deg): 90.00 90.00 90.00
Element x y z (fractional)
Y 0.000 0.000 0.000
Y 0.500 0.500 0.000
Zn 0.118 0.382 0.000
Zn 0.382 0.882 0.000
Zn 0.618 0.118 0.000
Zn 0.882 0.618 0.000
Ni 0.000 0.500 0.500
Ni 0.064 0.210 0.500
Ni 0.179 0.679 0.242
Ni 0.179 0.679 0.758
Ni 0.210 0.936 0.500
Ni 0.290 0.436 0.500
Ni 0.321 0.179 0.242
Ni 0.321 0.179 0.758
Ni 0.436 0.710 0.500
Ni 0.500 0.000 0.500
Ni 0.564 0.290 0.500
Ni 0.679 0.821 0.242
Ni 0.679 0.821 0.758
Ni 0.710 0.564 0.500
Ni 0.790 0.064 0.500
Ni 0.821 0.321 0.242
Ni 0.821 0.321 0.758
Ni 0.936 0.790 0.500

distance to the lowest polymorph of the same formula = 0.000 eV per atom
formation energy from the elements = -2.7 eV/f.u.
raw total energy = -5.310 eV/atom
DOS(E_F) = 35.81 states/eV per cell
SG = No. 127

---

No. 7
Here is an optimized crystal structure of YZnNi from the Alexandria database. Energies are from GGA-PBE.

a b c (Å): 12.337 3.803 7.022
angles (deg): 90.00 90.00 90.00
Element x y z (fractional)
Y 0.044 0.000 0.246
Y 0.250 0.000 0.634
Y 0.456 0.000 0.246
Y 0.544 0.000 0.754
Y 0.750 0.000 0.366
Y 0.956 0.000 0.754
Zn 0.133 0.500 0.921
Zn 0.250 0.500 0.288
Zn 0.367 0.500 0.921
Zn 0.633 0.500 0.079
Zn 0.750 0.500 0.712
Zn 0.867 0.500 0.079
Ni 0.092 0.500 0.549
Ni 0.250 0.000 0.050
Ni 0.408 0.500 0.549
Ni 0.592 0.500 0.451
Ni 0.750 0.000 0.950
Ni 0.908 0.500 0.451

formation energy from the elements = -1.3 eV/f.u.
raw total energy = -4.943 eV/atom
DOS(E_F) = 12.16 states/eV per cell
SG = No. 51

---

No. 8
Here is an optimized crystal structure of Y4Zn2Ni from the Alexandria database. Energies are from GGA-PBE.

a b c (Å): 6.049 6.049 6.049
angles (deg): 109.44 109.44 109.53
Element x y z (fractional)
Y 0.000 0.000 0.500
Y 0.000 0.500 0.000
Y 0.500 0.000 0.000
Y 0.500 0.500 0.500
Zn 0.000 0.500 0.500
Zn 0.500 0.000 0.500
Ni 0.000 0.000 0.000

formation energy from the elements = -1.5 eV/f.u.
raw total energy = -5.102 eV/atom
DOS(E_F) = 5.45 states/eV per cell
SG = No. 139